HfCoHg2W: optimized geometry, PBE-GGA.

Cell lengths 5.230, 5.230, 4.272 Å; angles 90.00, 90.00, 90.00 degrees
Space group P4/mmm (No. 123)
Unique sites:
Hf: 0.000 0.000 0.000
Co: 0.000 0.000 0.500
Hg: 0.000 0.500 0.000
W: 0.500 0.500 0.500

Summary:
Volume = 23.37 A^3/atom
Energy of formation = 10.01 eV per formula unit